(1)
A relaxed Mg3TaCl crystal, computed with GGA-PBE.

Total moment: 4.00 μB per formula unit
V: 42.6 Å³/atom
E: -24.34 eV for the cell shown

Lattice parameters (Å, degrees): 8.997 8.997 6.074 90.00 90.00 120.00
Fractional coordinates of all 10 atoms:
Mg (0.152, 0.304, 0.250)
Mg (0.152, 0.848, 0.250)
Mg (0.304, 0.152, 0.750)
Mg (0.696, 0.848, 0.250)
Mg (0.848, 0.152, 0.750)
Mg (0.848, 0.696, 0.750)
Ta (0.333, 0.667, 0.250)
Ta (0.667, 0.333, 0.750)
Cl (0.000, 0.000, 0.000)
Cl (0.000, 0.000, 0.500)

(2)
A relaxed BaHfBePt crystal, computed with GGA-PBE.

Total moment: 0.00 μB per formula unit
Relative energy among the computed polymorphs: 0.0 meV per atom
V: 19.9 Å³/atom

Lattice parameters (Å, degrees): 4.825 4.825 4.825 60.00 60.00 60.00
Fractional coordinates of all 4 atoms:
Ba (0.000, 0.000, 0.000)
Hf (0.750, 0.750, 0.750)
Be (0.250, 0.250, 0.250)
Pt (0.500, 0.500, 0.500)

(3)
A relaxed YTm6Fe2Te2 crystal, computed with GGA-PBE.

Total moment: 0.79 μB per formula unit
V: 25.1 Å³/atom
E: -61.75 eV for the cell shown

Lattice parameters (Å, degrees): 9.261 9.261 9.261 155.98 65.15 120.46
Fractional coordinates of all 11 atoms:
Y (0.000, 0.000, 0.000)
Tm (0.280, 0.417, 0.863)
Tm (0.312, 0.626, 0.686)
Tm (0.554, 0.417, 0.137)
Tm (0.611, 0.263, 0.349)
Tm (0.914, 0.263, 0.651)
Tm (0.939, 0.626, 0.314)
Fe (0.169, 0.932, 0.237)
Fe (0.695, 0.932, 0.763)
Te (0.268, 0.768, 0.500)
Te (0.662, 0.662, 0.000)

(4)
A relaxed KZnPO crystal, computed with GGA-PBE.

Relative energy among the computed polymorphs: 162.5 meV per atom
V: 18.3 Å³/atom

Lattice parameters (Å, degrees): 3.287 7.589 5.860 90.00 90.00 90.00
Fractional coordinates of all 8 atoms:
K (0.000, 0.186, 0.000)
K (0.000, 0.814, 0.500)
Zn (0.500, 0.163, 0.498)
Zn (0.500, 0.837, 0.998)
P (0.000, 0.416, 0.496)
P (0.000, 0.584, 0.996)
O (0.500, 0.001, 0.749)
O (0.500, 0.999, 0.249)